Entry from Alexandria: a relaxed La6MgTl crystal (PBE).

Crystal system   monoclinic
Energy above the most stable polymorph in this dataset   6.5 kJ/mol of atoms
Calculated total energy   -4.21 eV per atom
ΔE_f   -0.016 eV per atom

a b c (Å): 6.6754 12.1098 6.5492
angles (deg): 90.00 90.56 90.00
Last column: nearest neighbours and their distance in Å.
Space group C2/m (No. 12)
Inequivalent atoms, fractional coordinates:
La: 0.0264 0.0000 0.2505 x4  6 La 3.29-3.68, 1 Mg 3.54, 1 Tl 3.58
La: 0.1638 0.2716 0.2498 x8  6 La 3.38-3.68, 1 Tl 3.39, 1 Mg 3.40
Mg: 0.0000 0.5000 0.5000 x2  2 Tl 3.27, 6 La 3.40-3.54
Tl: 0.0000 0.5000 0.0000 x2  2 Mg 3.27, 6 La 3.39-3.58



Entry from Alexandria: a relaxed ZrFeBr2 crystal (PBE).

Crystal system   cubic
ΔE_f (raw)   0.39 eV/atom
Energy above the most stable polymorph in this dataset   80.7 kJ/mol of atoms
Calculated total energy   -4.70 eV per atom

a b c (Å): 6.5735 6.5735 6.5735
angles (deg): 90.00 90.00 90.00
Last column: nearest neighbours and their distance in Å.
Space group Fm-3m (No. 225)
Inequivalent atoms, fractional coordinates:
Zr: 0.0000 0.0000 0.0000 x4  8 Br 2.85
Fe: 0.0000 0.0000 0.5000 x4  8 Br 2.85
Br: 0.2500 0.2500 0.2500 x8  4 Zr 2.85, 4 Fe 2.85



Entry from Alexandria: a relaxed LiGaP crystal (PBE).

Crystal system   monoclinic
Calculated total energy   -3.76 eV per atom
ΔE_f   -0.311 eV per atom

a b c (Å): 8.1992 4.1874 6.9231
angles (deg): 90.00 113.37 90.00
Last column: nearest neighbours and their distance in Å.
Space group C2/m (No. 12)
Inequivalent atoms, fractional coordinates:
Li: 0.1201 0.0000 0.3611 x4  4 P 2.55-2.83, 2 Ga 2.81
Ga: 0.1094 0.5000 0.8498 x4  4 P 2.46-2.74
P: 0.2471 0.5000 0.2372 x4  4 Ga 2.46-2.74, 3 Li 2.55-2.63



Entry from Alexandria: a relaxed AcSnBi2Pt2 crystal (PBE).

Crystal system   tetragonal
Calculated total energy   -4.94 eV per atom
ΔE_f   -0.280 eV per atom

a b c (Å): 5.6470 5.6470 11.3275
angles (deg): 90.00 90.00 90.00
Last column: nearest neighbours and their distance in Å.
Space group I4/mmm (No. 139)
Inequivalent atoms, fractional coordinates:
Ac: 0.0000 0.0000 0.0000 x2  2 Pt 3.00
Sn: 0.0000 0.0000 0.5000 x2  2 Pt 2.67
Bi: 0.0000 0.5000 0.2500 x4  4 Pt 2.83
Pt: 0.0000 0.0000 0.2645 x4  1 Sn 2.67, 4 Bi 2.83



Entry from Alexandria: a relaxed LaYAgRu crystal (PBE).

Crystal system   cubic
Calculated total energy   -6.12 eV per atom
ΔE_f   -0.243 eV per atom

a b c (Å): 7.2024 7.2024 7.2024
angles (deg): 90.00 90.00 90.00
Last column: nearest neighbours and their distance in Å.
Space group F-43m (No. 216)
Inequivalent atoms, fractional coordinates:
La: 0.0000 0.0000 0.0000 x4  4 Ag 3.12, 4 Ru 3.12
Y: 0.0000 0.0000 0.5000 x4  4 Ru 3.12, 4 Ag 3.12
Ag: 0.2500 0.2500 0.7500 x4  4 Y 3.12, 4 La 3.12
Ru: 0.2500 0.2500 0.2500 x4  4 La 3.12, 4 Y 3.12



Entry from Alexandria: a relaxed SiBPN4 crystal (PBE).

Crystal system   triclinic
ΔE_f (raw)   -0.34 eV/atom
Energy above the most stable polymorph in this dataset   47.0 kJ/mol of atoms
Calculated total energy   -7.60 eV per atom

a b c (Å): 4.1478 4.2714 4.3118
angles (deg): 94.65 109.49 99.62
Last column: nearest neighbours and their distance in Å.
Space group P1 (No. 1)
Inequivalent atoms, fractional coordinates:
Si: 0.0000 0.0000 0.0000 x1  4 N 1.83-1.89
B: 0.5977 0.3809 0.5523 x1  3 N 1.44-1.48
P: 0.4282 0.6925 0.0660 x1  3 N 1.63-1.71
N: 0.3269 0.3631 0.2224 x1  1 B 1.48
N: 0.6422 0.6290 0.8187 x1  1 B 1.44
N: 0.8053 0.9476 0.3221 x1  1 N 1.43
N: 0.8324 0.1620 0.6053 x1  1 N 1.43, 1 B 1.44